CeTi3C: optimized geometry, PBE-GGA.

```
5
Lattice="4.351 0.000 0.000 0.000 4.351 0.000 0.000 0.000 4.351" Properties=species:S:1:pos:R:3 pbc="T T T"
Ce 0.000 0.000 0.000
Ti 0.000 2.175 2.175
Ti 2.175 0.000 2.175
Ti 2.175 2.175 0.000
C 2.175 2.175 2.175
```

Computed properties:
The value obtained for the total energy is -7.833 eV/atom. The calculation puts the formation energy at -6.3 kJ per mole of atoms. As for the volume: 82 Å³/cell.

Ce4TlC2: optimized geometry, PBE-GGA.

```
14
Lattice="0.000 5.493 6.632 4.538 0.000 6.632 4.538 5.493 0.000" Properties=species:S:1:pos:R:3 pbc="T T T"
Ce 2.502 2.380 2.598
Ce 6.575 5.126 5.913
Ce 4.306 5.860 2.598
Ce 4.306 2.380 7.350
Ce 4.771 8.607 5.913
Ce 4.771 5.126 10.666
Ce 2.502 5.860 7.350
Ce 6.575 8.607 10.666
Tl 3.404 4.120 4.974
Tl 5.673 6.867 8.290
C 0.000 0.000 0.000
C 2.269 2.747 0.000
C 2.269 0.000 3.316
C 0.000 2.747 3.316
```

Computed properties:
The value obtained for the total energy is -6.420 eV/atom. The calculation puts the formation energy at -5.4 kJ per mole of atoms. As for the volume: 331 Å³/cell.

Ce4TlC: optimized geometry, PBE-GGA.

```
12
Lattice="7.288 -3.007 0.000 7.288 3.007 0.000 -1.858 0.000 6.653" Properties=species:S:1:pos:R:3 pbc="T T T"
Ce 0.450 0.457 3.138
Ce -0.479 -0.457 6.464
Ce 2.853 0.562 5.658
Ce 3.782 -0.562 2.331
Ce 8.936 0.562 4.322
Ce 9.865 -0.562 0.995
Ce 13.198 0.457 0.189
Ce 12.269 -0.457 3.515
Tl 6.824 0.436 1.663
Tl 5.895 -0.436 4.990
C 2.715 1.504 3.326
C 3.644 -1.504 0.000
```

Computed properties:
The value obtained for the total energy is -6.017 eV/atom. The calculation puts the formation energy at -12.5 kJ per mole of atoms. As for the volume: 292 Å³/cell.

Ce4Tl5C: optimized geometry, PBE-GGA.

```
10
Lattice="8.548 -1.768 0.000 8.548 1.768 0.000 -1.410 0.000 9.223" Properties=species:S:1:pos:R:3 pbc="T T T"
Ce -0.185 0.000 1.693
Ce 4.624 0.000 8.854
Ce 11.061 0.000 0.369
Ce 15.870 0.000 7.530
Tl 1.935 0.000 6.659
Tl 2.502 0.000 3.543
Tl 7.842 0.000 4.612
Tl 13.183 0.000 5.680
Tl 13.750 0.000 2.564
C 8.548 0.000 0.000
```

Computed properties:
The value obtained for the total energy is -4.555 eV/atom. The calculation puts the formation energy at -7.3 kJ per mole of atoms. As for the volume: 279 Å³/cell.

CeTm2TlC: optimized geometry, PBE-GGA.

```
5
Lattice="4.887 0.000 0.000 0.000 4.887 0.000 0.000 0.000 4.907" Properties=species:S:1:pos:R:3 pbc="T T T"
Ce 0.000 0.000 0.000
Tm 0.000 2.443 2.454
Tm 2.443 0.000 2.454
Tl 2.443 2.443 0.000
C 0.000 0.000 2.454
```

Computed properties:
The value obtained for the total energy is -5.682 eV/atom. The calculation puts the formation energy at -37.5 kJ per mole of atoms. As for the volume: 117 Å³/cell.

CeTm2C2: optimized geometry, PBE-GGA.

```
5
Lattice="1.794 1.036 9.277 -1.794 1.036 9.277 0.000 -2.071 9.277" Properties=species:S:1:pos:R:3 pbc="T T T"
Ce 0.000 0.000 0.000
Tm 0.000 0.000 6.451
Tm 0.000 0.000 21.379
C 0.000 0.000 10.904
C 0.000 0.000 16.925
```

Computed properties:
The value obtained for the total energy is -6.891 eV/atom. The calculation puts the formation energy at -21.8 kJ per mole of atoms. As for the volume: 103 Å³/cell.

Ce2Tm2C3: optimized geometry, PBE-GGA.

```
7
Lattice="6.670 -1.783 0.000 6.670 1.783 0.000 -2.562 0.000 5.564" Properties=species:S:1:pos:R:3 pbc="T T T"
Ce 0.944 0.000 1.617
Ce 9.834 0.000 3.947
Tm 4.373 0.000 0.975
Tm 6.405 0.000 4.589
C 1.286 0.000 4.126
C 6.670 0.000 0.000
C 9.492 0.000 1.437
```

Computed properties:
The value obtained for the total energy is -7.118 eV/atom. The calculation puts the formation energy at -18.6 kJ per mole of atoms. As for the volume: 132 Å³/cell.

CeTm2C: optimized geometry, PBE-GGA.

```
4
Lattice="1.716 0.991 9.661 -1.716 0.991 9.661 0.000 -1.982 9.661" Properties=species:S:1:pos:R:3 pbc="T T T"
Ce 0.000 0.000 0.000
Tm 0.000 0.000 3.490
Tm 0.000 0.000 25.493
C 0.000 0.000 14.492
```

Computed properties:
The value obtained for the polymorph energy (0 for the lowest one) is 0.00 eV/f.u. The value obtained for the total energy is -6.125 eV/atom. The calculation puts the formation energy at -9.7 kJ per mole of atoms. As for the volume: 99 Å³/cell.

Ce4Tm2C: optimized geometry, PBE-GGA.

```
7
Lattice="-2.471 2.471 8.254 2.471 -2.471 8.254 2.471 2.471 -8.254" Properties=species:S:1:pos:R:3 pbc="T T T"
Ce 2.471 0.000 0.000
Ce 0.000 0.000 2.361
Ce 0.000 2.471 0.000
Ce 0.000 0.000 14.148
Tm 0.000 0.000 5.728
Tm 0.000 0.000 10.781
C 0.000 0.000 0.000
```

Computed properties:
The value obtained for the total energy is -5.779 eV/atom. The calculation puts the formation energy at 20.0 kJ per mole of atoms. As for the volume: 202 Å³/cell.

CeTmC: optimized geometry, PBE-GGA.

```
3
Lattice="3.515 0.000 0.000 -1.758 3.044 0.000 0.000 0.000 6.343" Properties=species:S:1:pos:R:3 pbc="T T T"
Ce 0.000 0.000 0.000
Tm 0.000 2.029 2.760
C 1.758 1.015 1.421
```

Computed properties:
The value obtained for the polymorph energy (0 for the lowest one) is 0.06 eV/f.u. The value obtained for the total energy is -6.754 eV/atom. The calculation puts the formation energy at -20.4 kJ per mole of atoms. As for the volume: 68 Å³/cell.

CeTm5C4: optimized geometry, PBE-GGA.

```
10
Lattice="7.804 -1.787 0.000 7.804 1.787 0.000 -1.632 0.000 7.053" Properties=species:S:1:pos:R:3 pbc="T T T"
Ce 0.000 0.000 0.000
Tm -0.816 0.000 3.526
Tm 4.954 0.000 1.018
Tm 4.177 0.000 4.873
Tm 9.798 0.000 2.180
Tm 9.021 0.000 6.035
C 2.504 0.000 0.626
C 6.552 0.000 5.229
C 7.424 0.000 1.824
C 11.471 0.000 6.426
```

Computed properties:
The value obtained for the total energy is -6.782 eV/atom. The calculation puts the formation energy at -25.4 kJ per mole of atoms. As for the volume: 197 Å³/cell.

CeTmC: optimized geometry, PBE-GGA.

```
3
Lattice="0.000 3.051 3.051 3.051 0.000 3.051 3.051 3.051 0.000" Properties=species:S:1:pos:R:3 pbc="T T T"
Ce 0.000 0.000 0.000
Tm 3.051 3.051 3.051
C 1.526 1.526 1.526
```

Computed properties:
The value obtained for the polymorph energy (0 for the lowest one) is 1.16 eV/f.u. The value obtained for the total energy is -6.389 eV/atom. The calculation puts the formation energy at 14.8 kJ per mole of atoms. As for the volume: 57 Å³/cell.

CeTmC2: optimized geometry, PBE-GGA.

```
4
Lattice="1.809 1.044 5.838 -1.809 1.044 5.838 0.000 -2.089 5.838" Properties=species:S:1:pos:R:3 pbc="T T T"
Ce 0.000 0.000 0.000
Tm 0.000 0.000 8.757
C 0.000 0.000 4.393
C 0.000 0.000 13.122
```

Computed properties:
The value obtained for the polymorph energy (0 for the lowest one) is 0.00 eV/f.u. The value obtained for the total energy is -7.262 eV/atom. The calculation puts the formation energy at -4.7 kJ per mole of atoms. As for the volume: 66 Å³/cell.

CeTm2C: optimized geometry, PBE-GGA.

```
4
Lattice="3.164 0.000 0.000 0.000 3.164 0.000 0.000 0.000 8.627" Properties=species:S:1:pos:R:3 pbc="T T T"
Ce 0.000 0.000 0.000
Tm 1.582 1.582 2.968
Tm 1.582 1.582 5.659
C 0.000 0.000 4.314
```

Computed properties:
The value obtained for the polymorph energy (0 for the lowest one) is 1.41 eV/f.u. The value obtained for the total energy is -5.773 eV/atom. The calculation puts the formation energy at 24.3 kJ per mole of atoms. As for the volume: 86 Å³/cell.

Ce2TmC2: optimized geometry, PBE-GGA.

```
10
Lattice="5.678 -2.617 0.000 5.678 2.617 0.000 -2.416 0.000 6.734" Properties=species:S:1:pos:R:3 pbc="T T T"
Ce -0.563 0.000 1.639
Ce 1.577 0.000 6.168
Ce 7.364 0.000 0.565
Ce 9.504 0.000 5.094
Tm 2.878 0.000 2.761
Tm 6.063 0.000 3.972
C 1.612 0.000 0.580
C 5.029 0.000 1.684
C 3.912 0.000 5.049
C 7.329 0.000 6.154
```

Computed properties:
The value obtained for the total energy is -7.108 eV/atom. The calculation puts the formation energy at -14.5 kJ per mole of atoms. As for the volume: 200 Å³/cell.

CeTmC: optimized geometry, PBE-GGA.

```
6
Lattice="5.677 0.000 0.000 0.000 3.615 0.000 -0.959 0.000 6.660" Properties=species:S:1:pos:R:3 pbc="T T T"
Ce 0.000 0.000 0.000
Ce 1.749 1.807 5.920
Tm 1.790 0.000 2.807
Tm 4.586 1.807 3.534
C 3.318 0.000 0.876
C 4.071 0.000 2.007
```

Computed properties:
The value obtained for the polymorph energy (0 for the lowest one) is 0.92 eV/f.u. The value obtained for the total energy is -6.470 eV/atom. The calculation puts the formation energy at 7.1 kJ per mole of atoms. As for the volume: 137 Å³/cell.

CeTmC: optimized geometry, PBE-GGA.

```
3
Lattice="1.761 1.016 6.264 -1.761 1.016 6.264 0.000 -2.033 6.264" Properties=species:S:1:pos:R:3 pbc="T T T"
Ce 0.000 0.000 0.000
Tm 0.000 0.000 9.765
C 0.000 0.000 4.822
```

Computed properties:
The value obtained for the polymorph energy (0 for the lowest one) is 0.00 eV/f.u. The value obtained for the total energy is -6.775 eV/atom. The calculation puts the formation energy at -22.4 kJ per mole of atoms. As for the volume: 67 Å³/cell.

CeTmC: optimized geometry, PBE-GGA.

```
3
Lattice="-1.572 1.572 5.950 1.572 -1.572 5.950 1.572 1.572 -5.950" Properties=species:S:1:pos:R:3 pbc="T T T"
Ce 0.000 0.000 0.000
Tm 0.000 0.000 9.166
C 0.000 0.000 4.537
```

Computed properties:
The value obtained for the polymorph energy (0 for the lowest one) is 1.14 eV/f.u. The value obtained for the total energy is -6.394 eV/atom. The calculation puts the formation energy at 14.4 kJ per mole of atoms. As for the volume: 59 Å³/cell.

Ce3TmC: optimized geometry, PBE-GGA.

```
5
Lattice="5.019 0.000 0.000 0.000 5.019 0.000 0.000 0.000 5.019" Properties=species:S:1:pos:R:3 pbc="T T T"
Ce 0.000 0.000 2.509
Ce 0.000 2.509 0.000
Ce 2.509 0.000 0.000
Tm 2.509 2.509 2.509
C 0.000 0.000 0.000
```

Computed properties:
The value obtained for the total energy is -6.298 eV/atom. The calculation puts the formation energy at 0.2 kJ per mole of atoms. As for the volume: 126 Å³/cell.

CeTmC2: optimized geometry, PBE-GGA.

```
4
Lattice="1.789 1.033 5.913 -1.789 1.033 5.913 0.000 -2.066 5.913" Properties=species:S:1:pos:R:3 pbc="T T T"
Ce 0.000 0.000 0.000
Tm 0.000 0.000 3.007
C 0.000 0.000 7.318
C 0.000 0.000 10.311
```

Computed properties:
The value obtained for the polymorph energy (0 for the lowest one) is 0.52 eV/f.u. The value obtained for the total energy is -7.131 eV/atom. The calculation puts the formation energy at 7.9 kJ per mole of atoms. As for the volume: 66 Å³/cell.

CeTm2UC4: optimized geometry, PBE-GGA.

```
8
Lattice="6.084 0.000 0.000 0.000 3.604 0.000 -2.091 0.000 5.861" Properties=species:S:1:pos:R:3 pbc="T T T"
Ce 0.000 0.000 0.000
Tm 1.996 0.000 2.930
Tm 3.042 1.802 0.000
U -1.046 1.802 2.930
C 0.836 1.802 1.570
C -0.130 0.000 4.282
C 4.123 0.000 1.579
C 3.157 1.802 4.291
```

Computed properties:
The value obtained for the total energy is -8.130 eV/atom. The calculation puts the formation energy at -23.9 kJ per mole of atoms. As for the volume: 129 Å³/cell.

CeTmWC3: optimized geometry, PBE-GGA.

```
12
Lattice="7.313 0.000 0.000 0.000 3.657 0.000 -1.153 0.000 7.897" Properties=species:S:1:pos:R:3 pbc="T T T"
Ce 1.092 0.914 1.362
Ce 5.068 2.743 6.535
Tm 1.724 2.743 6.654
Tm 4.436 0.914 1.242
W 0.066 0.914 4.751
W 6.094 2.743 3.145
C -0.144 0.914 6.676
C 0.675 2.743 4.100
C 2.607 2.743 1.089
C 3.553 0.914 6.807
C 5.485 0.914 3.797
C 6.303 2.743 1.221
```

Computed properties:
The value obtained for the total energy is -8.441 eV/atom. The calculation puts the formation energy at 6.2 kJ per mole of atoms. As for the volume: 211 Å³/cell.

Ce2TmZnC: optimized geometry, PBE-GGA.

```
5
Lattice="4.905 0.000 0.000 0.000 4.905 0.000 0.000 0.000 4.825" Properties=species:S:1:pos:R:3 pbc="T T T"
Ce 0.000 2.452 0.000
Ce 2.452 0.000 0.000
Tm 0.000 0.000 2.412
Zn 2.452 2.452 2.412
C 0.000 0.000 0.000
```

Computed properties:
The value obtained for the total energy is -5.520 eV/atom. The calculation puts the formation energy at -14.7 kJ per mole of atoms. As for the volume: 116 Å³/cell.

CeUC2: optimized geometry, PBE-GGA.

```
4
Lattice="3.543 0.000 0.000 -1.772 3.069 0.000 0.000 0.000 5.958" Properties=species:S:1:pos:R:3 pbc="T T T"
Ce 0.000 0.000 0.000
U 0.000 0.000 2.979
C 0.000 2.046 4.245
C 1.772 1.023 1.713
```

Computed properties:
The value obtained for the polymorph energy (0 for the lowest one) is 0.96 eV/f.u. The value obtained for the total energy is -8.857 eV/atom. The calculation puts the formation energy at 5.8 kJ per mole of atoms. As for the volume: 65 Å³/cell.

Ce2UC: optimized geometry, PBE-GGA.

```
4
Lattice="1.636 0.944 8.875 -1.636 0.944 8.875 0.000 -1.889 8.875" Properties=species:S:1:pos:R:3 pbc="T T T"
Ce 0.000 0.000 2.917
Ce 0.000 0.000 23.709
U 0.000 0.000 0.000
C 0.000 0.000 13.313
```

Computed properties:
The value obtained for the polymorph energy (0 for the lowest one) is 0.00 eV/f.u. The value obtained for the total energy is -7.887 eV/atom. The calculation puts the formation energy at 20.1 kJ per mole of atoms. As for the volume: 82 Å³/cell.

Ce2U2C3: optimized geometry, PBE-GGA.

```
7
Lattice="5.971 -1.853 0.000 5.971 1.853 0.000 -2.981 0.000 5.721" Properties=species:S:1:pos:R:3 pbc="T T T"
Ce 0.178 0.000 1.903
Ce 8.783 0.000 3.817
U 3.325 0.000 0.844
U 5.635 0.000 4.876
C 0.958 0.000 4.168
C 4.480 0.000 2.860
C 8.002 0.000 1.552
```

Computed properties:
The value obtained for the total energy is -8.953 eV/atom. The calculation puts the formation energy at -7.6 kJ per mole of atoms. As for the volume: 127 Å³/cell.

CeU2C2: optimized geometry, PBE-GGA.

```
5
Lattice="-1.881 1.881 6.039 1.881 -1.881 6.039 1.881 1.881 -6.039" Properties=species:S:1:pos:R:3 pbc="T T T"
Ce 0.000 0.000 0.000
U 1.881 0.000 3.019
U 0.000 1.881 3.019
C 0.000 0.000 4.592
C 0.000 0.000 7.486
```

Computed properties:
The value obtained for the total energy is -9.141 eV/atom. The calculation puts the formation energy at 24.2 kJ per mole of atoms. As for the volume: 86 Å³/cell.